[1]
First-principles (PBE) data for a relaxed LiHoIn3 crystal, as listed in the Alexandria database.

Total magnetization: 0.000 μB per cell
VASP energy: -3.1483 eV/atom
Calculated density: 7.24 g/cm3
Energy relative to the elements: -207 meV per atom

Cell lengths 5.784, 6.878, 6.878 Å; angles 120.00, 90.00, 90.00 degrees
Fractional coordinates of all 10 atoms:
Li: 0.000 0.000 0.000
Li: 0.500 0.000 0.000
Ho: 0.250 0.333 0.667
Ho: 0.750 0.667 0.333
In: 0.250 0.812 0.188
In: 0.750 0.188 0.812
In: 0.250 0.812 0.623
In: 0.750 0.188 0.377
In: 0.250 0.377 0.188
In: 0.750 0.623 0.812

=====

[2]
First-principles (PBE) data for a relaxed Be2Tl3I8 crystal, as listed in the Alexandria database.

Total magnetization: 0.000 μB per cell
VASP energy: -2.5690 eV/atom
ΔE_f (raw): -495.7 meV/atom
Calculated density: 5.06 g/cm3

Cell lengths 8.250, 8.251, 11.596 Å; angles 65.46, 65.46, 50.33 degrees
Fractional coordinates of all 13 atoms:
Be: 0.396 0.396 0.801
Be: 0.604 0.604 0.199
Tl: 0.000 0.000 0.000
Tl: 0.174 0.174 0.341
Tl: 0.826 0.826 0.659
I: 0.348 0.348 0.025
I: 0.652 0.652 0.975
I: 0.273 0.775 0.690
I: 0.775 0.273 0.690
I: 0.269 0.269 0.732
I: 0.225 0.727 0.310
I: 0.727 0.225 0.310
I: 0.731 0.731 0.268

=====

- What is the VASP energy in the second record?
  -2.5690 eV/atom

=====

- The highest calculated density belongs to which entry?
  LiHoIn3